1.
! Mg3Cd3AgAu2 PBE optimized geometry; values from VASP
! **DOS(E_F)**: 0.322 states/eV/atom
! **Calculated total energy**: -19.60 eV per cell
! **Energy relative to the elements**: -0.296 eV/atom
&SYSTEM
  ibrav = 0, nat = 9, ntyp = 4
/
ATOMIC_SPECIES
Mg 24.30 Mg.upf
Cd 112.41 Cd.upf
Ag 107.87 Ag.upf
Au 196.97 Au.upf
ATOMIC_POSITIONS angstrom
Mg -1.520 2.632 0.000
Mg 3.039 0.000 0.000
Mg 2.432 4.212 0.000
Cd -2.814 4.875 1.674
Cd 1.137 1.969 1.674
Cd 5.629 0.000 1.674
Ag 0.000 0.000 0.000
Au 0.000 4.563 1.674
Au 3.951 2.281 1.674
CELL_PARAMETERS angstrom
7.903 0.000 0.000
-3.951 6.844 0.000
0.000 0.000 3.348

2.
! Mg5Cd2Ag2Au PBE optimized geometry; values from VASP
! **DOS(E_F)**: 0.061 states/eV/atom
! **Calculated total energy**: -41.62 eV per cell
! **Energy relative to the elements**: -0.202 eV/atom
&SYSTEM
  ibrav = 0, nat = 20, ntyp = 4
/
ATOMIC_SPECIES
Mg 24.30 Mg.upf
Cd 112.41 Cd.upf
Ag 107.87 Ag.upf
Au 196.97 Au.upf
ATOMIC_POSITIONS angstrom
Mg 0.000 5.571 0.000
Mg 0.343 2.193 0.000
Mg 2.193 10.799 0.000
Mg 3.378 5.228 0.000
Mg 5.228 7.764 0.000
Mg 5.571 0.000 0.000
Mg 5.914 3.378 0.000
Mg 7.764 5.914 0.000
Mg 8.948 0.343 0.000
Mg 10.799 8.948 0.000
Cd 1.918 7.489 1.684
Cd 3.652 1.918 1.684
Cd 7.489 9.223 1.684
Cd 9.223 3.652 1.684
Ag 1.566 4.004 1.684
Ag 4.004 9.575 1.684
Ag 7.137 1.566 1.684
Ag 9.575 7.137 1.684
Au 0.000 0.000 1.684
Au 5.571 5.571 1.684
CELL_PARAMETERS angstrom
11.141 0.000 0.000
0.000 11.141 0.000
0.000 0.000 3.369

3.
! MgCdAgAu2 PBE optimized geometry; values from VASP
! **DOS(E_F)**: 0.249 states/eV/atom
! **Calculated total energy**: -26.66 eV per cell
! **Energy relative to the elements**: -0.283 eV/atom
&SYSTEM
  ibrav = 0, nat = 10, ntyp = 4
/
ATOMIC_SPECIES
Mg 24.30 Mg.upf
Cd 112.41 Cd.upf
Ag 107.87 Ag.upf
Au 196.97 Au.upf
ATOMIC_POSITIONS angstrom
Mg 1.138 1.052 0.384
Mg 5.315 3.156 6.296
Cd 1.531 3.156 4.862
Cd 4.923 1.052 1.817
Ag 2.207 1.052 2.994
Ag 4.246 3.156 3.685
Au 0.240 3.156 2.085
Au 2.942 3.156 0.957
Au 3.511 1.052 5.722
Au 6.214 1.052 4.595
CELL_PARAMETERS angstrom
6.645 0.000 0.000
0.000 4.208 0.000
-0.192 0.000 6.679

4.
! MgCdAg2Au PBE optimized geometry; values from VASP
! **DOS(E_F)**: 0.263 states/eV/atom
! **Calculated total energy**: -24.11 eV per cell
! **Energy relative to the elements**: -0.113 eV/atom
&SYSTEM
  ibrav = 0, nat = 10, ntyp = 4
/
ATOMIC_SPECIES
Mg 24.30 Mg.upf
Cd 112.41 Cd.upf
Ag 107.87 Ag.upf
Au 196.97 Au.upf
ATOMIC_POSITIONS angstrom
Mg 1.509 4.754 7.239
Mg 1.509 -4.754 2.413
Cd 0.000 0.000 0.000
Cd 0.000 0.000 4.826
Ag 1.509 4.065 0.993
Ag 1.509 4.065 3.833
Ag 1.509 -4.065 5.819
Ag 1.509 -4.065 8.660
Au 1.509 0.430 7.239
Au 1.509 -0.430 2.413
CELL_PARAMETERS angstrom
1.509 -6.773 0.000
1.509 6.773 0.000
0.000 0.000 9.652

5.
! Mg5Cd2AgAu2 PBE optimized geometry; values from VASP
! **DOS(E_F)**: 0.142 states/eV/atom
! **Calculated total energy**: -44.15 eV per cell
! **Energy relative to the elements**: -0.287 eV/atom
&SYSTEM
  ibrav = 0, nat = 20, ntyp = 4
/
ATOMIC_SPECIES
Mg 24.30 Mg.upf
Cd 112.41 Cd.upf
Ag 107.87 Ag.upf
Au 196.97 Au.upf
ATOMIC_POSITIONS angstrom
Mg 0.000 5.531 0.000
Mg 0.558 2.185 0.000
Mg 2.185 10.504 0.000
Mg 3.346 4.973 0.000
Mg 4.973 7.716 0.000
Mg 5.531 0.000 0.000
Mg 6.089 3.346 0.000
Mg 7.716 6.089 0.000
Mg 8.877 0.558 0.000
Mg 10.504 8.877 0.000
Cd 1.934 7.464 1.723
Cd 3.597 1.934 1.723
Cd 7.464 9.128 1.723
Cd 9.128 3.597 1.723
Ag 0.000 0.000 1.723
Ag 5.531 5.531 1.723
Au 1.487 4.044 1.723
Au 4.044 9.575 1.723
Au 7.017 1.487 1.723
Au 9.575 7.017 1.723
CELL_PARAMETERS angstrom
11.062 0.000 0.000
0.000 11.062 0.000
0.000 0.000 3.445

6.
! Mg3CdAg3Au2 PBE optimized geometry; values from VASP
! **DOS(E_F)**: 0.291 states/eV/atom
! **Calculated total energy**: -23.31 eV per cell
! **Energy relative to the elements**: -0.278 eV/atom
&SYSTEM
  ibrav = 0, nat = 9, ntyp = 4
/
ATOMIC_SPECIES
Mg 24.30 Mg.upf
Cd 112.41 Cd.upf
Ag 107.87 Ag.upf
Au 196.97 Au.upf
ATOMIC_POSITIONS angstrom
Mg -1.546 2.679 0.000
Mg 3.093 0.000 0.000
Mg 2.489 4.311 0.000
Cd 0.000 0.000 0.000
Ag -2.823 4.889 1.508
Ag 1.213 2.101 1.508
Ag 5.646 0.000 1.508
Au 0.000 4.660 1.508
Au 4.036 2.330 1.508
CELL_PARAMETERS angstrom
8.071 0.000 0.000
-4.036 6.990 0.000
0.000 0.000 3.017

7.
! CdAg2MoAu PBE optimized geometry; values from VASP
! **DOS(E_F)**: 0.489 states/eV/atom
! **Calculated total energy**: -13.78 eV per cell
! **Energy relative to the elements**: 1.389 eV/atom
&SYSTEM
  ibrav = 0, nat = 5, ntyp = 4
/
ATOMIC_SPECIES
Cd 112.41 Cd.upf
Ag 107.87 Ag.upf
Mo 95.94 Mo.upf
Au 196.97 Au.upf
ATOMIC_POSITIONS angstrom
Cd 0.000 0.000 0.000
Ag 0.000 2.518 0.000
Ag 2.518 0.000 0.000
Mo 0.000 0.000 2.612
Au 2.518 2.518 2.612
CELL_PARAMETERS angstrom
5.037 0.000 0.000
0.000 5.037 0.000
0.000 0.000 5.224

8.
! NaCd3AgAu PBE optimized geometry; values from VASP
! **DOS(E_F)**: 0.378 states/eV/atom
! **Calculated total energy**: -20.92 eV per cell
! **Energy relative to the elements**: -0.044 eV/atom
&SYSTEM
  ibrav = 0, nat = 12, ntyp = 4
/
ATOMIC_SPECIES
Na 22.99 Na.upf
Cd 112.41 Cd.upf
Ag 107.87 Ag.upf
Au 196.97 Au.upf
ATOMIC_POSITIONS angstrom
Na 3.814 3.855 4.411
Na 3.814 -3.855 1.470
Cd 1.531 0.000 0.000
Cd 1.531 0.000 2.941
Cd 3.814 1.986 1.470
Cd 3.814 -1.986 4.411
Cd 6.097 0.000 0.000
Cd 6.097 0.000 2.941
Ag 3.814 0.896 4.411
Ag 3.814 -0.896 1.470
Au 3.814 4.718 1.470
Au 3.814 -4.718 4.411
CELL_PARAMETERS angstrom
3.814 -6.670 0.000
3.814 6.670 0.000
0.000 0.000 5.882

9.
! Na2Cd5AgAu2 PBE optimized geometry; values from VASP
! **DOS(E_F)**: 0.299 states/eV/atom
! **Calculated total energy**: -36.48 eV per cell
! **Energy relative to the elements**: -0.162 eV/atom
&SYSTEM
  ibrav = 0, nat = 20, ntyp = 4
/
ATOMIC_SPECIES
Na 22.99 Na.upf
Cd 112.41 Cd.upf
Ag 107.87 Ag.upf
Au 196.97 Au.upf
ATOMIC_POSITIONS angstrom
Na 1.756 3.377 0.000
Na 3.377 8.511 0.000
Na 6.889 1.756 0.000
Na 8.511 6.889 0.000
Cd 0.000 5.133 2.155
Cd 0.712 8.251 2.155
Cd 2.015 0.712 2.155
Cd 3.118 5.845 2.155
Cd 4.421 3.118 2.155
Cd 5.133 0.000 2.155
Cd 5.845 7.148 2.155
Cd 7.148 4.421 2.155
Cd 8.251 9.554 2.155
Cd 9.554 2.015 2.155
Ag 0.000 0.000 0.000
Ag 5.133 5.133 0.000
Au 1.307 6.440 0.000
Au 3.826 1.307 0.000
Au 6.440 8.959 0.000
Au 8.959 3.826 0.000
CELL_PARAMETERS angstrom
10.266 0.000 0.000
0.000 10.266 0.000
0.000 0.000 4.310

10.
! Na2Cd5Ag2Au PBE optimized geometry; values from VASP
! **DOS(E_F)**: 0.163 states/eV/atom
! **Calculated total energy**: -34.29 eV per cell
! **Energy relative to the elements**: -0.095 eV/atom
&SYSTEM
  ibrav = 0, nat = 20, ntyp = 4
/
ATOMIC_SPECIES
Na 22.99 Na.upf
Cd 112.41 Cd.upf
Ag 107.87 Ag.upf
Au 196.97 Au.upf
ATOMIC_POSITIONS angstrom
Na 2.116 3.934 0.000
Na 3.934 9.984 0.000
Na 8.167 2.116 0.000
Na 9.984 8.167 0.000
Cd 0.000 6.050 1.599
Cd 0.715 9.831 1.599
Cd 2.269 0.715 1.599
Cd 3.781 6.765 1.599
Cd 5.335 3.781 1.599
Cd 6.050 0.000 1.599
Cd 6.765 8.319 1.599
Cd 8.319 5.335 1.599
Cd 9.831 11.385 1.599
Cd 11.385 2.269 1.599
Ag 1.654 7.704 0.000
Ag 4.396 1.654 0.000
Ag 7.704 10.446 0.000
Ag 10.446 4.396 0.000
Au 0.000 0.000 0.000
Au 6.050 6.050 0.000
CELL_PARAMETERS angstrom
12.100 0.000 0.000
0.000 12.100 0.000
0.000 0.000 3.197

11.
! Na2CdAg2Au5 PBE optimized geometry; values from VASP
! **DOS(E_F)**: 0.289 states/eV/atom
! **Calculated total energy**: -54.50 eV per cell
! **Energy relative to the elements**: -0.161 eV/atom
&SYSTEM
  ibrav = 0, nat = 20, ntyp = 4
/
ATOMIC_SPECIES
Na 22.99 Na.upf
Cd 112.41 Cd.upf
Ag 107.87 Ag.upf
Au 196.97 Au.upf
ATOMIC_POSITIONS angstrom
Na 1.680 3.183 0.000
Na 3.183 8.047 0.000
Na 6.543 1.680 0.000
Na 8.047 6.543 0.000
Cd 0.000 0.000 0.000
Cd 4.863 4.863 0.000
Ag 1.220 6.083 0.000
Ag 3.643 1.220 0.000
Ag 6.083 8.506 0.000
Ag 8.506 3.643 0.000
Au 0.000 4.863 2.156
Au 0.635 7.774 2.156
Au 1.952 0.635 2.156
Au 2.911 5.498 2.156
Au 4.228 2.911 2.156
Au 4.863 0.000 2.156
Au 5.498 6.815 2.156
Au 6.815 4.228 2.156
Au 7.774 9.091 2.156
Au 9.091 1.952 2.156
CELL_PARAMETERS angstrom
9.726 0.000 0.000
0.000 9.726 0.000
0.000 0.000 4.313

12.
! Na2Cd2Ag5Au PBE optimized geometry; values from VASP
! **DOS(E_F)**: 0.327 states/eV/atom
! **Calculated total energy**: -44.20 eV per cell
! **Energy relative to the elements**: -0.010 eV/atom
&SYSTEM
  ibrav = 0, nat = 20, ntyp = 4
/
ATOMIC_SPECIES
Na 22.99 Na.upf
Cd 112.41 Cd.upf
Ag 107.87 Ag.upf
Au 196.97 Au.upf
ATOMIC_POSITIONS angstrom
Na 1.752 3.299 0.000
Na 3.299 8.350 0.000
Na 6.803 1.752 0.000
Na 8.350 6.803 0.000
Cd 1.282 6.333 0.000
Cd 3.769 1.282 0.000
Cd 6.333 8.820 0.000
Cd 8.820 3.769 0.000
Ag 0.000 5.051 2.078
Ag 0.584 8.145 2.078
Ag 1.957 0.584 2.078
Ag 3.094 5.635 2.078
Ag 4.467 3.094 2.078
Ag 5.051 0.000 2.078
Ag 5.635 7.008 2.078
Ag 7.008 4.467 2.078
Ag 8.145 9.518 2.078
Ag 9.518 1.957 2.078
Au 0.000 0.000 0.000
Au 5.051 5.051 0.000
CELL_PARAMETERS angstrom
10.102 0.000 0.000
0.000 10.102 0.000
0.000 0.000 4.156

13.
! Nd4CdAgAu2 PBE optimized geometry; values from VASP
! **DOS(E_F)**: 0.909 states/eV/atom
! **Calculated total energy**: -33.50 eV per cell
! **Energy relative to the elements**: -0.514 eV/atom
&SYSTEM
  ibrav = 0, nat = 8, ntyp = 4
/
ATOMIC_SPECIES
Nd 144.24 Nd.upf
Cd 112.41 Cd.upf
Ag 107.87 Ag.upf
Au 196.97 Au.upf
ATOMIC_POSITIONS angstrom
Nd 0.000 0.000 3.178
Nd 0.000 0.000 9.701
Nd 0.000 0.000 16.348
Nd 0.000 0.000 22.870
Cd 0.000 0.000 13.024
Ag 0.000 0.000 0.000
Au 0.000 0.000 6.392
Au 0.000 0.000 19.656
CELL_PARAMETERS angstrom
2.656 1.533 8.683
-2.656 1.533 8.683
0.000 -3.067 8.683

14.
! Nd4CdAg2Au PBE optimized geometry; values from VASP
! **DOS(E_F)**: 0.962 states/eV/atom
! **Calculated total energy**: -32.20 eV per cell
! **Energy relative to the elements**: -0.404 eV/atom
&SYSTEM
  ibrav = 0, nat = 8, ntyp = 4
/
ATOMIC_SPECIES
Nd 144.24 Nd.upf
Cd 112.41 Cd.upf
Ag 107.87 Ag.upf
Au 196.97 Au.upf
ATOMIC_POSITIONS angstrom
Nd 0.000 0.000 3.145
Nd 0.000 0.000 9.687
Nd 0.000 0.000 16.432
Nd 0.000 0.000 22.974
Cd 0.000 0.000 13.060
Ag 0.000 0.000 6.350
Ag 0.000 0.000 19.769
Au 0.000 0.000 0.000
CELL_PARAMETERS angstrom
2.664 1.538 8.706
-2.664 1.538 8.706
0.000 -3.076 8.706

15.
! NdCdAgAu PBE optimized geometry; values from VASP
! **DOS(E_F)**: 0.939 states/eV/atom
! **Calculated total energy**: -54.54 eV per cell
! **Energy relative to the elements**: -0.456 eV/atom
&SYSTEM
  ibrav = 0, nat = 16, ntyp = 4
/
ATOMIC_SPECIES
Nd 144.24 Nd.upf
Cd 112.41 Cd.upf
Ag 107.87 Ag.upf
Au 196.97 Au.upf
ATOMIC_POSITIONS angstrom
Nd 0.000 0.000 0.000
Nd 0.000 3.566 3.566
Nd 3.566 0.000 3.566
Nd 3.566 3.566 0.000
Cd 0.000 0.000 3.566
Cd 0.000 3.566 0.000
Cd 3.566 0.000 0.000
Cd 3.566 3.566 3.566
Ag 1.783 1.783 1.783
Ag 1.783 5.348 5.348
Ag 5.348 1.783 5.348
Ag 5.348 5.348 1.783
Au 1.783 1.783 5.348
Au 1.783 5.348 1.783
Au 5.348 1.783 1.783
Au 5.348 5.348 5.348
CELL_PARAMETERS angstrom
7.131 0.000 0.000
0.000 7.131 0.000
0.000 0.000 7.131

16.
! Cd2AgPbAu4 PBE optimized geometry; values from VASP
! **DOS(E_F)**: 0.342 states/eV/atom
! **Calculated total energy**: -22.04 eV per cell
! **Energy relative to the elements**: -0.068 eV/atom
&SYSTEM
  ibrav = 0, nat = 8, ntyp = 4
/
ATOMIC_SPECIES
Cd 112.41 Cd.upf
Ag 107.87 Ag.upf
Pb 207.20 Pb.upf
Au 196.97 Au.upf
ATOMIC_POSITIONS angstrom
Cd 0.000 0.000 6.160
Cd 0.000 0.000 19.217
Ag 0.000 0.000 12.688
Pb 0.000 0.000 0.000
Au 0.000 0.000 3.255
Au 0.000 0.000 9.798
Au 0.000 0.000 15.578
Au 0.000 0.000 22.121
CELL_PARAMETERS angstrom
2.375 1.371 8.459
-2.375 1.371 8.459
0.000 -2.743 8.459

17.
! CdAgPbAu2 PBE optimized geometry; values from VASP
! **DOS(E_F)**: 0.436 states/eV/atom
! **Calculated total energy**: -10.85 eV per cell
! **Energy relative to the elements**: 0.637 eV/atom
&SYSTEM
  ibrav = 0, nat = 5, ntyp = 4
/
ATOMIC_SPECIES
Cd 112.41 Cd.upf
Ag 107.87 Ag.upf
Pb 207.20 Pb.upf
Au 196.97 Au.upf
ATOMIC_POSITIONS angstrom
Cd 0.000 0.000 0.000
Ag 2.595 2.595 2.768
Pb 0.000 0.000 2.768
Au 0.000 2.595 0.000
Au 2.595 0.000 0.000
CELL_PARAMETERS angstrom
5.190 0.000 0.000
0.000 5.190 0.000
0.000 0.000 5.536

18.
! CdAgPdAu PBE optimized geometry; values from VASP
! **DOS(E_F)**: 0.244 states/eV/atom
! **Calculated total energy**: -13.15 eV per cell
! **Energy relative to the elements**: -0.229 eV/atom
&SYSTEM
  ibrav = 0, nat = 4, ntyp = 4
/
ATOMIC_SPECIES
Cd 112.41 Cd.upf
Ag 107.87 Ag.upf
Pd 106.42 Pd.upf
Au 196.97 Au.upf
ATOMIC_POSITIONS angstrom
Cd 0.000 0.000 0.000
Ag 0.000 2.062 2.081
Pd 2.059 2.062 0.000
Au 2.059 0.000 2.081
CELL_PARAMETERS angstrom
4.118 0.000 0.000
0.000 4.123 0.000
0.000 0.000 4.162

19.
! CdAg2Pd2Au2 PBE optimized geometry; values from VASP
! **DOS(E_F)**: 0.313 states/eV/atom
! **Calculated total energy**: -49.01 eV per cell
! **Energy relative to the elements**: -0.135 eV/atom
&SYSTEM
  ibrav = 0, nat = 14, ntyp = 4
/
ATOMIC_SPECIES
Cd 112.41 Cd.upf
Ag 107.87 Ag.upf
Pd 106.42 Pd.upf
Au 196.97 Au.upf
ATOMIC_POSITIONS angstrom
Cd 0.000 0.000 0.000
Cd 4.609 2.086 0.000
Ag 0.074 2.086 4.480
Ag 3.659 0.000 1.866
Ag 4.683 0.000 4.480
Ag 8.268 2.086 1.866
Pd 0.930 0.000 2.694
Pd 2.803 2.086 3.653
Pd 5.539 2.086 2.694
Pd 7.412 0.000 3.653
Au 1.834 2.086 0.966
Au 1.899 0.000 5.380
Au 6.443 0.000 0.966
Au 6.508 2.086 5.380
CELL_PARAMETERS angstrom
9.218 0.000 0.000
0.000 4.171 0.000
-0.876 0.000 6.346

20.
! Cd2AgPd2Au2 PBE optimized geometry; values from VASP
! **DOS(E_F)**: 0.387 states/eV/atom
! **Calculated total energy**: -46.02 eV per cell
! **Energy relative to the elements**: -0.198 eV/atom
&SYSTEM
  ibrav = 0, nat = 14, ntyp = 4
/
ATOMIC_SPECIES
Cd 112.41 Cd.upf
Ag 107.87 Ag.upf
Pd 106.42 Pd.upf
Au 196.97 Au.upf
ATOMIC_POSITIONS angstrom
Cd 1.809 0.000 1.065
Cd 1.950 2.087 5.377
Cd 6.443 2.087 1.065
Cd 6.585 0.000 5.377
Ag 0.000 2.087 0.000
Ag 4.635 0.000 0.000
Pd 0.901 2.087 2.744
Pd 2.858 0.000 3.699
Pd 5.535 0.000 2.744
Pd 7.493 2.087 3.699
Au 0.100 0.000 4.580
Au 3.659 2.087 1.863
Au 4.734 2.087 4.580
Au 8.294 0.000 1.863
CELL_PARAMETERS angstrom
9.269 0.000 0.000
0.000 4.174 0.000
-0.875 0.000 6.443